# meta-GGA SCAN Ce3Cu4P4O2, single point on PBEsol structure
data_Ce3Cu4P4O2
_chemical_formula_sum 'Ce6 Cu8 P8 O4'
_symmetry_space_group_name_H-M 'I 4/m m m'
_symmetry_Int_Tables_number 139
_symmetry_space_group_name_Hall '-I 4 2'
_cell_length_a 3.824
_cell_length_b 3.824
_cell_length_c 26.479
_cell_angle_alpha 90.00
_cell_angle_beta 90.00
_cell_angle_gamma 90.00
loop_
_atom_site_label
_atom_site_type_symbol
_atom_site_fract_x
_atom_site_fract_y
_atom_site_fract_z
_atom_site_occupancy
Ce1 Ce 0.000 0.000 0.000 1
Ce2 Ce 0.000 0.000 0.298 1
Cu1 Cu 0.000 0.500 0.099 1
P1 P 0.000 0.000 0.148 1
P2 P 0.000 0.000 0.454 1
O1 O 0.000 0.500 0.250 1
# M_tot: 0.46 μB per formula unit
# final energy: -268.7 eV per formula unit
# ΔE_f (raw): -1551 meV per atom